Entry 1:
## Ce2Be3CdPt4 (GGA-PBE)

Data for crystalline Ce2Be3CdPt4 at its relaxed geometry.

Output
E_form in eV per atom: -0.74
Volume in Å³ per atom: 17.33

extended XYZ file:
```
10
Lattice="4.005 0.000 0.000 0.000 4.005 0.000 0.000 0.000 10.807" Properties=species:S:1:pos:R:3 pbc="T T T"
Ce 0.000 2.003 2.538
Ce 2.003 0.000 8.269
Be 0.000 2.003 9.615
Be 2.003 0.000 1.191
Be 2.003 2.003 5.403
Cd 0.000 0.000 5.403
Pt 0.000 0.000 0.000
Pt 0.000 2.003 7.280
Pt 2.003 0.000 3.527
Pt 2.003 2.003 0.000
```


Entry 2:
## Pr6CdCo (GGA-PBE)

Data for crystalline Pr6CdCo at its relaxed geometry.

Output
E_form in eV per atom: 0.03
Volume in Å³ per atom: 32.97

extended XYZ file:
```
8
Lattice="4.040 -5.247 0.000 4.040 5.247 0.000 -1.774 0.000 6.221" Properties=species:S:1:pos:R:3 pbc="T T T"
Pr 1.822 3.227 4.479
Pr 0.692 0.000 5.421
Pr 4.485 3.227 1.742
Pr 1.822 -3.227 4.479
Pr 5.615 0.000 0.800
Pr 4.485 -3.227 1.742
Cd 3.153 0.000 3.110
Co 0.000 0.000 0.000
```


Entry 3:
## KLi3Ca4F12 (GGA-PBE)

Data for crystalline KLi3Ca4F12 at its relaxed geometry.

Output
ΔE_f (raw) in eV/atom: -3.453
Volume in Å³ per atom: 14.26

extended XYZ file:
```
20
Lattice="-4.147 4.147 4.147 4.147 -4.147 4.147 4.147 4.147 -4.147" Properties=species:S:1:pos:R:3 pbc="T T T"
K 0.000 0.000 0.000
Li 4.147 0.000 0.000
Li 0.000 4.147 0.000
Li 0.000 0.000 4.147
Ca 2.073 2.073 -2.073
Ca 2.073 -2.073 2.073
Ca -2.073 2.073 2.073
Ca 2.073 2.073 2.073
F 4.147 2.790 -1.495
F 2.652 0.000 1.357
F 5.642 0.000 1.357
F 1.357 2.652 0.000
F 2.790 -1.495 4.147
F 0.000 1.357 2.652
F 4.147 2.790 1.495
F 1.357 5.642 0.000
F 2.790 1.495 4.147
F -1.495 4.147 2.790
F 1.495 4.147 2.790
F 0.000 1.357 5.642
```


Entry 4:
## Dy2Ho3In2 (GGA-PBE)

Data for crystalline Dy2Ho3In2 at its relaxed geometry.

Output
E_form in eV per atom: -0.15
Distance to the lowest polymorph of the same formula in eV/atom: 0.123
Volume in Å³ per atom: 28.25

extended XYZ file:
```
7
Lattice="2.450 -11.773 0.000 2.450 11.773 0.000 0.000 0.000 3.428" Properties=species:S:1:pos:R:3 pbc="T T T"
Dy 2.450 6.727 0.000
Dy 2.450 -6.727 0.000
Ho 2.450 3.357 1.714
Ho 2.450 0.000 1.714
Ho 2.450 -3.357 1.714
In 2.450 10.093 0.000
In 2.450 -10.093 0.000
```


Entry 5:
## CaAl2Zn (GGA-PBE)

Data for crystalline CaAl2Zn at its relaxed geometry.

Output
E_form in eV per atom: -0.02
Volume in Å³ per atom: 21.04

extended XYZ file:
```
4
Lattice="-1.875 2.318 4.841 1.875 -2.318 4.841 1.875 2.318 -4.841" Properties=species:S:1:pos:R:3 pbc="T T T"
Ca 0.000 0.000 0.000
Al 1.875 0.000 2.624
Al 0.000 2.318 2.217
Zn 0.000 0.000 4.841
```


Entry 6:
## GdTl2 (GGA-PBE)

Data for crystalline GdTl2 at its relaxed geometry.

Output
E_form in eV per atom: -0.10
Volume in Å³ per atom: 28.47

extended XYZ file:
```
6
Lattice="0.000 4.404 4.404 4.404 0.000 4.404 4.404 4.404 0.000" Properties=species:S:1:pos:R:3 pbc="T T T"
Gd 1.101 1.101 1.101
Gd 7.707 7.707 7.707
Tl 4.404 2.202 2.202
Tl 2.202 4.404 2.202
Tl 2.202 2.202 4.404
Tl 4.404 4.404 4.404
```


Entry 7:
## Nd4HoTl3 (GGA-PBE)

Data for crystalline Nd4HoTl3 at its relaxed geometry.

Output
E_form in eV per atom: -0.25
Distance to the lowest polymorph of the same formula in eV/atom: 0.000
Volume in Å³ per atom: 30.19

extended XYZ file:
```
8
Lattice="10.826 -2.262 0.000 10.826 2.262 0.000 -1.179 0.000 4.932" Properties=species:S:1:pos:R:3 pbc="T T T"
Nd 2.404 0.000 0.580
Nd 4.267 0.000 3.636
Nd 16.207 0.000 1.296
Nd 18.070 0.000 4.352
Ho -0.589 0.000 2.466
Tl 7.716 0.000 1.859
Tl 10.826 0.000 0.000
Tl 12.757 0.000 3.074
```


Entry 8:
## Nb2Co2Ag (GGA-PBE)

Data for crystalline Nb2Co2Ag at its relaxed geometry.

Output
E_form in eV per atom: 0.19
Distance to the lowest polymorph of the same formula in eV/atom: 0.211
Volume in Å³ per atom: 15.60

extended XYZ file:
```
10
Lattice="7.550 0.000 0.000 0.000 7.550 0.000 0.000 0.000 2.737" Properties=species:S:1:pos:R:3 pbc="T T T"
Nb 1.120 2.655 0.000
Nb 2.655 6.430 0.000
Nb 4.895 1.120 0.000
Nb 6.430 4.895 0.000
Co 1.078 4.853 1.369
Co 2.697 1.078 1.369
Co 4.853 6.472 1.369
Co 6.472 2.697 1.369
Ag 0.000 0.000 0.000
Ag 3.775 3.775 0.000
```


Entry 9:
## Nd4Ga12Ir (GGA-PBE)

Data for crystalline Nd4Ga12Ir at its relaxed geometry.

Output
E_form in eV per atom: -0.61
Volume in Å³ per atom: 19.92

extended XYZ file:
```
17
Lattice="-4.391 4.391 4.391 4.391 -4.391 4.391 4.391 4.391 -4.391" Properties=species:S:1:pos:R:3 pbc="T T T"
Nd 2.195 2.195 -2.195
Nd 2.195 -2.195 2.195
Nd -2.195 2.195 2.195
Nd 2.195 2.195 2.195
Ga 2.561 0.000 0.000
Ga 6.221 0.000 0.000
Ga 4.391 2.195 0.000
Ga 4.391 0.000 2.195
Ga 0.000 2.561 0.000
Ga 0.000 0.000 2.561
Ga 2.195 4.391 0.000
Ga 2.195 0.000 4.391
Ga 0.000 6.221 0.000
Ga 0.000 0.000 6.221
Ga 0.000 4.391 2.195
Ga 0.000 2.195 4.391
Ir 0.000 0.000 0.000
```


Entry 10:
## Be3Pd2Rh (GGA-PBE)

Data for crystalline Be3Pd2Rh at its relaxed geometry.

Output
E_form in eV per atom: -0.66
Volume in Å³ per atom: 11.14

extended XYZ file:
```
6
Lattice="2.816 0.000 0.000 0.000 2.816 0.000 0.000 0.000 8.430" Properties=species:S:1:pos:R:3 pbc="T T T"
Be 0.000 0.000 0.000
Be 0.000 0.000 2.944
Be 0.000 0.000 5.486
Pd 1.408 1.408 1.406
Pd 1.408 1.408 7.024
Rh 1.408 1.408 4.215
```


Entry 11:
## Li3Mg4Hg4 (GGA-PBE)

Data for crystalline Li3Mg4Hg4 at its relaxed geometry.

Output
E_form in eV per atom: -0.22
Distance to the lowest polymorph of the same formula in eV/atom: 0.039
Volume in Å³ per atom: 21.38

extended XYZ file:
```
11
Lattice="-1.637 4.262 8.427 1.637 -4.262 8.427 1.637 4.262 -8.427" Properties=species:S:1:pos:R:3 pbc="T T T"
Li 0.000 0.000 0.000
Li 1.637 0.000 6.786
Li 0.000 4.262 1.640
Mg 1.637 1.667 -2.738
Mg 1.637 1.667 2.738
Mg 0.000 2.596 5.689
Mg 0.000 2.596 11.164
Hg 0.000 0.000 4.458
Hg 1.637 2.484 0.000
Hg 0.000 1.778 8.427
Hg 0.000 0.000 12.396
```


Entry 12:
## Y2Ag2Pt (GGA-PBE)

Data for crystalline Y2Ag2Pt at its relaxed geometry.

Output
E_form in eV per atom: -0.28
Distance to the lowest polymorph of the same formula in eV/atom: 0.312
Volume in Å³ per atom: 24.60

extended XYZ file:
```
10
Lattice="7.591 0.000 0.000 0.000 7.591 0.000 0.000 0.000 4.269" Properties=species:S:1:pos:R:3 pbc="T T T"
Y 1.285 2.511 0.000
Y 2.511 6.307 0.000
Y 5.080 1.285 0.000
Y 6.307 5.080 0.000
Ag 0.991 4.786 2.135
Ag 2.805 0.991 2.135
Ag 4.786 6.601 2.135
Ag 6.601 2.805 2.135
Pt 0.000 0.000 0.000
Pt 3.796 3.796 0.000
```


Entry 13:
## Th4Ir2OsS (GGA-PBE)

Data for crystalline Th4Ir2OsS at its relaxed geometry.

Output
ΔE_f (raw) in eV/atom: -0.977
Volume in Å³ per atom: 25.20

extended XYZ file:
```
8
Lattice="7.178 0.000 0.000 0.000 4.109 0.000 -2.293 0.000 6.834" Properties=species:S:1:pos:R:3 pbc="T T T"
Th 1.196 0.000 1.613
Th 0.051 2.055 5.176
Th 4.835 2.055 1.659
Th 3.689 0.000 5.222
Ir -1.146 0.000 3.417
Ir 0.000 2.055 0.000
Os 3.589 0.000 0.000
S 2.443 2.055 3.417
```


Entry 14:
## Li3RuPb (GGA-PBE)

Data for crystalline Li3RuPb at its relaxed geometry.

Output
E_form in eV per atom: 0.59
Distance to the lowest polymorph of the same formula in eV/atom: 0.000
Volume in Å³ per atom: 19.83

extended XYZ file:
```
5
Lattice="4.629 0.000 0.000 0.000 4.629 0.000 0.000 0.000 4.629" Properties=species:S:1:pos:R:3 pbc="T T T"
Li 0.000 0.000 2.314
Li 0.000 2.314 0.000
Li 2.314 0.000 0.000
Ru 0.000 0.000 0.000
Pb 2.314 2.314 2.314
```


Entry 15:
## Ac4BiAs5 (GGA-PBE)

Data for crystalline Ac4BiAs5 at its relaxed geometry.

Output
E_form in eV per atom: -1.16
Volume in Å³ per atom: 32.19

extended XYZ file:
```
10
Lattice="2.258 1.303 18.230 -2.258 1.303 18.230 0.000 -2.607 18.230" Properties=species:S:1:pos:R:3 pbc="T T T"
Ac 0.000 0.000 5.621
Ac 0.000 0.000 16.358
Ac 0.000 0.000 38.331
Ac 0.000 0.000 49.069
Bi 0.000 0.000 27.345
As 0.000 0.000 0.000
As 0.000 0.000 10.803
As 0.000 0.000 21.971
As 0.000 0.000 32.719
As 0.000 0.000 43.886
```


Entry 16:
## AlCrMoPt2 (GGA-PBE)

Data for crystalline AlCrMoPt2 at its relaxed geometry.

Output
E_form in eV per atom: 1.00
Volume in Å³ per atom: 17.14

extended XYZ file:
```
5
Lattice="4.431 0.000 0.000 0.000 4.431 0.000 0.000 0.000 4.365" Properties=species:S:1:pos:R:3 pbc="T T T"
Al 0.000 0.000 0.000
Cr 0.000 0.000 2.182
Mo 2.216 2.216 2.182
Pt 0.000 2.216 0.000
Pt 2.216 0.000 0.000
```


Entry 17:
## RbOs (GGA-PBE)

Data for crystalline RbOs at its relaxed geometry.

Output
E_form in eV per atom: 1.00
Distance to the lowest polymorph of the same formula in eV/atom: 0.081
Volume in Å³ per atom: 38.07

extended XYZ file:
```
12
Lattice="3.894 0.000 0.000 0.000 11.335 0.000 0.000 0.000 10.352" Properties=species:S:1:pos:R:3 pbc="T T T"
Rb 0.973 0.831 2.095
Rb 0.973 2.834 7.165
Rb 0.973 4.836 2.095
Rb 2.920 6.498 8.256
Rb 2.920 8.501 3.186
Rb 2.920 10.504 8.256
Os 0.973 6.368 5.131
Os 0.973 8.501 6.206
Os 0.973 10.634 5.131
Os 2.920 0.701 5.220
Os 2.920 2.834 4.146
Os 2.920 4.967 5.220
```


Entry 18:
## Sm3TmSc3 (GGA-PBE)

Data for crystalline Sm3TmSc3 at its relaxed geometry.

Output
E_form in eV per atom: 0.18
Distance to the lowest polymorph of the same formula in eV/atom: 0.000
Volume in Å³ per atom: 30.30

extended XYZ file:
```
14
Lattice="4.180 2.413 7.008 -4.180 2.413 7.008 0.000 -4.827 7.008" Properties=species:S:1:pos:R:3 pbc="T T T"
Sm -0.630 -2.078 5.969
Sm -1.484 1.585 5.969
Sm -2.115 -0.493 15.055
Sm 2.115 0.493 5.969
Sm 1.484 -1.585 15.055
Sm 0.630 2.078 15.055
Tm 0.000 0.000 3.253
Tm 0.000 0.000 17.771
Sc -0.898 -1.641 9.335
Sc -1.871 -0.043 11.688
Sc -0.972 1.599 9.335
Sc 0.972 -1.599 11.688
Sc 1.871 0.043 9.335
Sc 0.898 1.641 11.688
```


Entry 19:
## BeVRe3 (GGA-PBE)

Data for crystalline BeVRe3 at its relaxed geometry.

Output
E_form in eV per atom: 1.95
Distance to the lowest polymorph of the same formula in eV/atom: 1.324
Volume in Å³ per atom: 17.83

extended XYZ file:
```
5
Lattice="4.467 0.000 0.000 0.000 4.467 0.000 0.000 0.000 4.467" Properties=species:S:1:pos:R:3 pbc="T T T"
Be 0.000 0.000 0.000
V 2.234 2.234 2.234
Re 0.000 2.234 2.234
Re 2.234 0.000 2.234
Re 2.234 2.234 0.000
```


Entry 20:
## Pm2LuHg (GGA-PBE)

Data for crystalline Pm2LuHg at its relaxed geometry.

Output
E_form in eV per atom: -0.20
Distance to the lowest polymorph of the same formula in eV/atom: 0.000
Volume in Å³ per atom: 29.96

extended XYZ file:
```
4
Lattice="3.681 0.000 0.000 0.000 3.681 0.000 0.000 0.000 8.845" Properties=species:S:1:pos:R:3 pbc="T T T"
Pm 0.000 0.000 2.020
Pm 0.000 0.000 6.825
Lu 1.840 1.840 4.422
Hg 1.840 1.840 0.000
```